# Tb5Nd2DyY

Crystalline Tb5Nd2DyY at its relaxed geometry (PBE, Alexandria via LeMat-Bulk).

Unit cell a=8.628 b=8.628 c=15.936 alpha=90.00 beta=90.00 gamma=90.00
Space group I4/mcm (No. 140)
One atom of each set of equivalent atoms:
Tb 0.000 0.000 0.000
Tb 0.214 0.286 0.141
Nd 0.119 0.381 0.500
Dy 0.000 0.000 0.250
Y 0.000 0.500 0.250

Summary:
Calculated density ... 7.47 Mg/m³
VASP energy ... -4.5910 eV per atom